Entry 1:
Compound: K2CaCrO4
Source: the Alexandria database
Functional: GGA+U
Structure: optimized geometry

The structure in POSCAR format:
```
K2CaCrO4
1.0
0.000 6.097 11.202
2.860 0.000 11.202
2.860 6.097 0.000
K Ca Cr O
4 2 2 8
Direct
0.071 0.071 0.679
0.321 0.321 0.929
0.679 0.679 0.071
0.929 0.929 0.321
0.125 0.125 0.125
0.875 0.875 0.875
0.375 0.375 0.375
0.625 0.625 0.625
0.044 0.631 0.522
0.303 0.522 0.631
0.369 0.956 0.697
0.478 0.697 0.956
0.522 0.303 0.044
0.631 0.044 0.303
0.697 0.478 0.369
0.956 0.369 0.478
```

Crystal system: orthorhombic

***

Entry 2:
Compound: KCaCrO4
Source: the Alexandria database
Functional: GGA+U
Structure: optimized geometry

The structure in POSCAR format:
```
KCaCrO4
1.0
5.834 0.000 0.000
0.000 5.920 0.000
-1.974 0.000 6.969
K Ca Cr O
2 2 2 8
Direct
0.222 0.250 0.433
0.778 0.750 0.567
0.302 0.250 0.955
0.698 0.750 0.045
0.236 0.750 0.164
0.764 0.250 0.836
0.062 0.750 0.935
0.064 0.750 0.321
0.437 0.524 0.192
0.437 0.976 0.192
0.563 0.024 0.808
0.563 0.476 0.808
0.936 0.250 0.679
0.938 0.250 0.065
```

Crystal system: monoclinic

***

Entry 3:
Compound: KCaCr2O8
Source: the Alexandria database
Functional: GGA+U
Structure: optimized geometry

The structure in POSCAR format:
```
KCaCr2O8
1.0
5.789 0.000 0.000
-2.895 5.013 0.000
0.000 0.000 7.784
K Ca Cr O
1 1 2 8
Direct
0.000 0.000 0.000
0.000 0.000 0.500
0.333 0.667 0.767
0.667 0.333 0.233
0.174 0.352 0.696
0.178 0.826 0.696
0.333 0.667 0.977
0.352 0.178 0.304
0.648 0.822 0.696
0.667 0.333 0.023
0.822 0.174 0.304
0.826 0.648 0.304
```

Crystal system: trigonal

***

no.,DFT total energy (eV for the cell shown)
1,-89.69
2,-88.90
3,-76.71